# CoRe28

A relaxed CoRe28 crystal (GGA-PBE, OQMD).

Structure (extended XYZ):
```
29
Lattice="-4.781 4.781 4.781 4.781 -4.781 4.781 4.781 4.781 -4.781" Properties=species:S:1:pos:R:3 pbc="T T T"
Co 0.000 0.000 0.000
Re -3.093 3.093 3.093
Re -0.857 0.857 2.703
Re 0.857 -0.857 2.703
Re -1.359 1.359 5.183
Re 3.093 -3.093 3.093
Re 1.359 -1.359 5.183
Re 0.857 0.857 6.860
Re -0.857 2.703 0.857
Re 2.703 -0.857 0.857
Re 1.359 1.359 4.379
Re -0.402 3.422 3.422
Re 3.422 -0.402 3.422
Re 1.688 1.688 1.688
Re 0.857 2.703 -0.857
Re 2.703 0.857 -0.857
Re -1.359 5.183 1.359
Re 5.183 -1.359 1.359
Re 1.359 4.379 1.359
Re 4.379 1.359 1.359
Re 2.078 3.924 3.924
Re 3.924 2.078 3.924
Re 3.093 3.093 -3.093
Re 1.359 5.183 -1.359
Re 5.183 1.359 -1.359
Re 3.422 3.422 -0.402
Re 0.857 6.860 0.857
Re 6.860 0.857 0.857
Re 3.924 3.924 2.078
```

Calculated values
Electronic total energy (eV for the cell shown): -352.8

=====

# Co10Re3

A relaxed Co10Re3 crystal (GGA-PBE, OQMD).

Structure (extended XYZ):
```
13
Lattice="-6.074 -5.899 -2.170 -5.060 -6.779 2.200 -7.966 -3.405 1.162" Properties=species:S:1:pos:R:3 pbc="T T T"
Co -4.716 -4.357 -0.960
Co -4.218 -4.790 1.190
Co -3.093 -2.605 0.193
Co -6.548 -5.514 0.409
Co -13.453 -12.953 0.512
Co -5.647 -3.130 0.679
Co -12.552 -10.569 0.783
Co -16.007 -13.479 0.999
Co -14.882 -11.293 0.001
Co -14.384 -11.726 2.152
Re 0.000 0.000 0.000
Re -8.640 -7.275 0.539
Re -10.460 -8.808 0.653
```

Calculated values
Energy relative to the lowest polymorph listed for this composition (meV per atom): 29

=====

# Co17Re12

A relaxed Co17Re12 crystal (GGA-PBE, OQMD).

Structure (extended XYZ):
```
29
Lattice="-5.823 -2.842 4.409 -0.925 7.733 -0.881 -0.116 -3.463 -7.030" Properties=species:S:1:pos:R:3 pbc="T T T"
Co 0.000 0.000 0.000
Co -3.876 -1.892 2.934
Co -4.361 1.146 2.669
Co -0.616 5.147 -0.586
Co -2.964 4.162 1.160
Co -4.082 1.946 0.111
Co -4.490 -0.688 0.661
Co -2.531 3.543 -1.455
Co -2.296 0.477 -1.171
Co -4.037 -3.333 0.209
Co -0.680 3.914 -3.416
Co -3.827 -1.577 -1.824
Co -2.286 1.751 -3.489
Co -0.077 -2.305 -4.679
Co -2.409 -3.510 -3.054
Co -0.450 0.720 -5.170
Co -2.207 -0.936 -3.915
Re -2.433 0.437 1.528
Re -1.513 2.423 0.535
Re -5.431 3.269 1.507
Re -2.273 -1.785 0.308
Re -0.380 2.300 -1.736
Re -1.201 -1.902 -1.841
Re -0.229 0.197 -2.891
Re -5.369 0.312 -1.274
Re -4.397 2.411 -2.324
Re -4.934 -3.601 -2.266
Re -1.928 2.889 -5.513
Re -4.236 0.189 -3.545
```

Calculated values
Energy relative to the lowest polymorph listed for this composition (meV per atom): 10

=====

# CoRe2

A relaxed CoRe2 crystal (GGA-PBE, OQMD).

Structure (extended XYZ):
```
12
Lattice="2.382 -4.260 0.000 2.382 4.260 0.000 0.000 0.000 7.945" Properties=species:S:1:pos:R:3 pbc="T T T"
Co 1.223 -0.690 1.986
Co 3.540 -0.690 1.986
Co 1.223 0.690 5.959
Co 3.540 0.690 5.959
Re 0.000 0.000 0.000
Re 2.382 1.374 0.580
Re 2.382 -2.691 1.986
Re 2.382 1.374 3.392
Re 0.000 0.000 3.973
Re 2.382 -1.374 4.553
Re 2.382 2.691 5.959
Re 2.382 -1.374 7.365
```

Calculated values
Energy relative to the lowest polymorph listed for this composition (meV per atom): 90

=====

# CoRe2

A relaxed CoRe2 crystal (GGA-PBE, OQMD).

Structure (extended XYZ):
```
24
Lattice="5.023 0.000 0.000 -2.512 4.350 0.000 0.000 0.000 15.495" Properties=species:S:1:pos:R:3 pbc="T T T"
Co 0.000 0.000 1.295
Co 0.000 2.900 1.978
Co 0.000 2.900 5.770
Co 0.000 0.000 6.452
Co 0.000 0.000 9.043
Co 2.512 1.450 9.725
Co 2.512 1.450 13.517
Co 0.000 0.000 14.200
Re 2.512 0.000 0.000
Re -1.256 2.175 0.000
Re 1.256 2.175 0.000
Re 2.512 1.450 2.441
Re 0.000 1.397 3.874
Re -1.302 3.652 3.874
Re 1.302 3.652 3.874
Re 2.512 1.450 5.306
Re 2.512 0.000 7.748
Re -1.256 2.175 7.748
Re 1.256 2.175 7.748
Re 0.000 2.900 10.189
Re 1.209 0.698 11.621
Re 3.814 0.698 11.621
Re 2.512 2.954 11.621
Re 0.000 2.900 13.054
```

Calculated values
Energy relative to the lowest polymorph listed for this composition (meV per atom): 381

=====

# Co9Re4

A relaxed Co9Re4 crystal (GGA-PBE, OQMD).

Structure (extended XYZ):
```
13
Lattice="2.298 1.326 8.297 -2.298 1.326 8.297 0.000 -2.653 8.297" Properties=species:S:1:pos:R:3 pbc="T T T"
Co 0.000 0.000 0.000
Co 1.146 0.662 6.350
Co -1.146 0.662 6.350
Co 0.000 0.000 4.167
Co 0.000 1.323 18.541
Co 0.000 -1.323 6.350
Co 0.000 0.000 20.724
Co 1.146 -0.662 18.541
Co -1.146 -0.662 18.541
Re 0.000 0.000 8.586
Re 0.000 0.000 11.252
Re 0.000 0.000 13.639
Re 0.000 0.000 16.305
```

Calculated values
Energy relative to the lowest polymorph listed for this composition (meV per atom): 15

=====

What did the third record say?
# Co17Re12

A relaxed Co17Re12 crystal (GGA-PBE, OQMD).

Structure (extended XYZ):
```
29
Lattice="-5.823 -2.842 4.409 -0.925 7.733 -0.881 -0.116 -3.463 -7.030" Properties=species:S:1:pos:R:3 pbc="T T T"
Co 0.000 0.000 0.000
Co -3.876 -1.892 2.934
Co -4.361 1.146 2.669
Co -0.616 5.147 -0.586
Co -2.964 4.162 1.160
Co -4.082 1.946 0.111
Co -4.490 -0.688 0.661
Co -2.531 3.543 -1.455
Co -2.296 0.477 -1.171
Co -4.037 -3.333 0.209
Co -0.680 3.914 -3.416
Co -3.827 -1.577 -1.824
Co -2.286 1.751 -3.489
Co -0.077 -2.305 -4.679
Co -2.409 -3.510 -3.054
Co -0.450 0.720 -5.170
Co -2.207 -0.936 -3.915
Re -2.433 0.437 1.528
Re -1.513 2.423 0.535
Re -5.431 3.269 1.507
Re -2.273 -1.785 0.308
Re -0.380 2.300 -1.736
Re -1.201 -1.902 -1.841
Re -0.229 0.197 -2.891
Re -5.369 0.312 -1.274
Re -4.397 2.411 -2.324
Re -4.934 -3.601 -2.266
Re -1.928 2.889 -5.513
Re -4.236 0.189 -3.545
```

Calculated values
Energy relative to the lowest polymorph listed for this composition (meV per atom): 10